# 1
# ErPt2O6 PBE relaxed
data_ErPt2O6
_chemical_formula_sum 'Er1 Pt2 O6'
_cell_length_a 4.7593
_cell_length_b 5.2724
_cell_length_c 5.2724
_cell_angle_alpha 120.00
_cell_angle_beta 90.00
_cell_angle_gamma 90.00
_space_group_name_H-M_alt 'P 1'
_space_group_IT_number 1
loop_
_space_group_symop_operation_xyz
'x,y,z'
loop_
_atom_site_label
_atom_site_type_symbol
_atom_site_fract_x
_atom_site_fract_y
_atom_site_fract_z
Er1 Er 0.0000 0.0000 0.0000
O1 O 0.2735 0.3530 0.3530
O2 O 0.7265 0.3530 0.0000
O3 O 0.7265 0.6470 0.6470
O4 O 0.2735 0.0000 0.6470
O5 O 0.2735 0.6470 0.0000
O6 O 0.7265 0.0000 0.3530
Pt1 Pt 0.5000 0.6667 0.3333
Pt2 Pt 0.5000 0.3333 0.6667
# calculated volume: 115 Å³ per cell
# density of states at the Fermi level: 8.70 states/eV/cell
# formation energy without anion corrections: -1321 meV per atom



# 2
# Er4Pt2O PBE relaxed
data_Er4Pt2O
_chemical_formula_sum 'Er4 Pt2 O1'
_cell_length_a 4.5390
_cell_length_b 4.5390
_cell_length_c 7.9474
_cell_angle_alpha 106.59
_cell_angle_beta 106.59
_cell_angle_gamma 90.00
_space_group_name_H-M_alt 'P 1'
_space_group_IT_number 1
loop_
_space_group_symop_operation_xyz
'x,y,z'
loop_
_atom_site_label
_atom_site_type_symbol
_atom_site_fract_x
_atom_site_fract_y
_atom_site_fract_z
Pt1 Pt 0.6293 0.6293 0.2586
Pt2 Pt 0.3707 0.3707 0.7414
Er1 Er 0.5000 0.0000 0.0000
Er2 Er 0.8173 0.8173 0.6346
Er3 Er 0.1827 0.1827 0.3654
Er4 Er 0.0000 0.5000 0.0000
O1 O 0.0000 0.0000 0.0000
# calculated volume: 150 Å³ per cell
# density of states at the Fermi level: 7.14 states/eV/cell
# formation energy without anion corrections: -1576 meV per atom



# 3
# Er2Pt2O7 PBE relaxed
data_Er2Pt2O7
_chemical_formula_sum 'Er4 Pt4 O14'
_cell_length_a 7.2334
_cell_length_b 7.2334
_cell_length_c 7.2334
_cell_angle_alpha 60.00
_cell_angle_beta 60.00
_cell_angle_gamma 60.00
_space_group_name_H-M_alt 'P 1'
_space_group_IT_number 1
loop_
_space_group_symop_operation_xyz
'x,y,z'
loop_
_atom_site_label
_atom_site_type_symbol
_atom_site_fract_x
_atom_site_fract_y
_atom_site_fract_z
Er1 Er 0.6250 0.1250 0.6250
Er2 Er 0.1250 0.6250 0.6250
Er3 Er 0.6250 0.6250 0.1250
Er4 Er 0.6250 0.6250 0.6250
Pt1 Pt 0.1250 0.1250 0.1250
Pt2 Pt 0.1250 0.6250 0.1250
Pt3 Pt 0.6250 0.1250 0.1250
Pt4 Pt 0.1250 0.1250 0.6250
O1 O 0.5000 0.5000 0.5000
O2 O 0.2177 0.2177 0.7823
O3 O 0.4677 0.4677 0.0323
O4 O 0.7500 0.7500 0.7500
O5 O 0.7823 0.7823 0.2177
O6 O 0.7823 0.2177 0.7823
O7 O 0.0323 0.4677 0.0323
O8 O 0.0323 0.4677 0.4677
O9 O 0.4677 0.0323 0.4677
O10 O 0.7823 0.2177 0.2177
O11 O 0.4677 0.0323 0.0323
O12 O 0.2177 0.7823 0.7823
O13 O 0.2177 0.7823 0.2177
O14 O 0.0323 0.0323 0.4677
# calculated volume: 268 Å³ per cell
# formation energy without anion corrections: -2034 meV per atom



# 4
# ErPtO PBE relaxed
data_ErPtO
_chemical_formula_sum 'Er4 Pt4 O4'
_cell_length_a 3.8510
_cell_length_b 3.8529
_cell_length_c 13.9015
_cell_angle_alpha 90.00
_cell_angle_beta 90.00
_cell_angle_gamma 90.00
_space_group_name_H-M_alt 'P 1'
_space_group_IT_number 1
loop_
_space_group_symop_operation_xyz
'x,y,z'
loop_
_atom_site_label
_atom_site_type_symbol
_atom_site_fract_x
_atom_site_fract_y
_atom_site_fract_z
Pt1 Pt 0.2499 0.2500 0.0000
Pt2 Pt 0.2501 0.2500 0.5000
Pt3 Pt 0.7499 0.7500 0.5000
Pt4 Pt 0.7501 0.7500 0.0000
O1 O 0.7508 0.7500 0.2501
O2 O 0.7492 0.7500 0.7501
O3 O 0.2492 0.2500 0.7499
O4 O 0.2508 0.2500 0.2499
Er1 Er 0.7508 0.2500 0.3286
Er2 Er 0.2492 0.7500 0.6714
Er3 Er 0.2508 0.7500 0.1714
Er4 Er 0.7492 0.2500 0.8286
# calculated volume: 206 Å³ per cell
# density of states at the Fermi level: 3.64 states/eV/cell
# formation energy without anion corrections: -2365 meV per atom



# 5
# Er2PtO PBE relaxed
data_Er2PtO
_chemical_formula_sum 'Er2 Pt1 O1'
_cell_length_a 4.2136
_cell_length_b 4.2136
_cell_length_c 7.3968
_cell_angle_alpha 73.45
_cell_angle_beta 73.45
_cell_angle_gamma 60.00
_space_group_name_H-M_alt 'P 1'
_space_group_IT_number 1
loop_
_space_group_symop_operation_xyz
'x,y,z'
loop_
_atom_site_label
_atom_site_type_symbol
_atom_site_fract_x
_atom_site_fract_y
_atom_site_fract_z
Pt1 Pt 0.5000 0.5000 0.5000
Er1 Er 0.9038 0.9038 0.2885
Er2 Er 0.0962 0.0962 0.7115
O1 O 0.0000 0.0000 0.0000
# calculated volume: 107 Å³ per cell
# density of states at the Fermi level: 0.18 states/eV/cell
# formation energy without anion corrections: -1795 meV per atom



# 6
# Er3PtO PBE relaxed
data_Er3PtO
_chemical_formula_sum 'Er3 Pt1 O1'
_cell_length_a 4.6160
_cell_length_b 4.6160
_cell_length_c 4.6160
_cell_angle_alpha 90.00
_cell_angle_beta 90.00
_cell_angle_gamma 90.00
_space_group_name_H-M_alt 'P 1'
_space_group_IT_number 1
loop_
_space_group_symop_operation_xyz
'x,y,z'
loop_
_atom_site_label
_atom_site_type_symbol
_atom_site_fract_x
_atom_site_fract_y
_atom_site_fract_z
Pt1 Pt 0.5000 0.5000 0.5000
Er1 Er 0.0000 0.5000 0.0000
Er2 Er 0.5000 0.0000 0.0000
Er3 Er 0.0000 0.0000 0.5000
O1 O 0.0000 0.0000 0.0000
# calculated volume: 98 Å³ per cell
# density of states at the Fermi level: 4.48 states/eV/cell
# formation energy without anion corrections: -1585 meV per atom



# 7
# ErPt3O6 PBE relaxed
data_ErPt3O6
_chemical_formula_sum 'Er1 Pt3 O6'
_cell_length_a 3.5128
_cell_length_b 6.1733
_cell_length_c 6.1733
_cell_angle_alpha 109.91
_cell_angle_beta 90.00
_cell_angle_gamma 90.00
_space_group_name_H-M_alt 'P 1'
_space_group_IT_number 1
loop_
_space_group_symop_operation_xyz
'x,y,z'
loop_
_atom_site_label
_atom_site_type_symbol
_atom_site_fract_x
_atom_site_fract_y
_atom_site_fract_z
Pt1 Pt 0.5000 0.5000 0.0000
Pt2 Pt 0.5000 0.0000 0.5000
Pt3 Pt 0.0000 0.0000 0.0000
O1 O 0.5000 0.3523 0.6477
O2 O 0.5000 0.6477 0.3523
O3 O 0.0000 0.9175 0.6568
O4 O 0.0000 0.6568 0.9175
O5 O 0.0000 0.3432 0.0825
O6 O 0.0000 0.0825 0.3432
Er1 Er 0.0000 0.5000 0.5000
# calculated volume: 126 Å³ per cell
# density of states at the Fermi level: 3.86 states/eV/cell
# formation energy without anion corrections: -1220 meV per atom



# 8
# Er6PtO12 PBE relaxed
data_Er6PtO12
_chemical_formula_sum 'Er6 Pt1 O12'
_cell_length_a 6.4220
_cell_length_b 6.4220
_cell_length_c 6.4220
_cell_angle_alpha 98.73
_cell_angle_beta 98.73
_cell_angle_gamma 98.73
_space_group_name_H-M_alt 'P 1'
_space_group_IT_number 1
loop_
_space_group_symop_operation_xyz
'x,y,z'
loop_
_atom_site_label
_atom_site_type_symbol
_atom_site_fract_x
_atom_site_fract_y
_atom_site_fract_z
O1 O 0.9597 0.3047 0.0693
O2 O 0.0403 0.6953 0.9307
O3 O 0.0693 0.9597 0.3047
O4 O 0.5662 0.4101 0.8222
O5 O 0.1778 0.4338 0.5899
O6 O 0.4101 0.8222 0.5662
O7 O 0.8222 0.5662 0.4101
O8 O 0.4338 0.5899 0.1778
O9 O 0.6953 0.9307 0.0403
O10 O 0.9307 0.0403 0.6953
O11 O 0.3047 0.0693 0.9597
O12 O 0.5899 0.1778 0.4338
Er1 Er 0.1431 0.6107 0.3125
Er2 Er 0.6875 0.8569 0.3893
Er3 Er 0.6107 0.3125 0.1431
Er4 Er 0.3893 0.6875 0.8569
Er5 Er 0.3125 0.1431 0.6107
Er6 Er 0.8569 0.3893 0.6875
Pt1 Pt 0.0000 0.0000 0.0000
# calculated volume: 255 Å³ per cell
# density of states at the Fermi level: 9.84 states/eV/cell
# formation energy without anion corrections: -2938 meV per atom



# 9
# Er12Pt3O5 PBE relaxed
data_Er12Pt3O5
_chemical_formula_sum 'Er48 Pt12 O20'
_cell_length_a 13.0269
_cell_length_b 13.0269
_cell_length_c 13.0269
_cell_angle_alpha 109.47
_cell_angle_beta 109.47
_cell_angle_gamma 109.47
_space_group_name_H-M_alt 'P 1'
_space_group_IT_number 1
loop_
_space_group_symop_operation_xyz
'x,y,z'
loop_
_atom_site_label
_atom_site_type_symbol
_atom_site_fract_x
_atom_site_fract_y
_atom_site_fract_z
Pt1 Pt 0.3750 0.7500 0.6250
Pt2 Pt 0.1250 0.8750 0.7500
Pt3 Pt 0.2500 0.1250 0.3750
Pt4 Pt 0.7500 0.3750 0.1250
Pt5 Pt 0.2500 0.6250 0.8750
Pt6 Pt 0.7500 0.8750 0.6250
Pt7 Pt 0.8750 0.1250 0.2500
Pt8 Pt 0.6250 0.3750 0.7500
Pt9 Pt 0.6250 0.2500 0.3750
Pt10 Pt 0.3750 0.6250 0.2500
Pt11 Pt 0.1250 0.2500 0.8750
Pt12 Pt 0.8750 0.7500 0.1250
Er1 Er 0.6169 0.0210 0.2067
Er2 Er 0.7067 0.5898 0.1856
Er3 Er 0.4790 0.6856 0.0958
Er4 Er 0.0958 0.9102 0.1169
Er5 Er 0.5898 0.7067 0.6856
Er6 Er 0.4042 0.0210 0.3144
Er7 Er 0.8831 0.5898 0.9042
Er8 Er 0.1169 0.7067 0.5210
Er9 Er 0.4102 0.2933 0.3144
Er10 Er 0.0958 0.1856 0.4790
Er11 Er 0.5210 0.2067 0.1169
Er12 Er 0.9102 0.8144 0.7933
Er13 Er 0.7067 0.1169 0.0210
Er14 Er 0.2933 0.8831 0.9790
Er15 Er 0.1169 0.4102 0.0958
Er16 Er 0.2067 0.6856 0.0898
Er17 Er 0.6856 0.4790 0.5958
Er18 Er 0.2067 0.5210 0.6169
Er19 Er 0.6856 0.2067 0.5898
Er20 Er 0.5210 0.3144 0.9042
Er21 Er 0.7933 0.4790 0.3831
Er22 Er 0.4790 0.7933 0.8831
Er23 Er 0.8831 0.2933 0.4790
Er24 Er 0.3831 0.9790 0.7933
Er25 Er 0.3144 0.5210 0.4042
Er26 Er 0.3144 0.7933 0.4102
Er27 Er 0.0210 0.6169 0.7067
Er28 Er 0.5898 0.8831 0.4042
Er29 Er 0.9790 0.3831 0.2933
Er30 Er 0.9042 0.0898 0.8831
Er31 Er 0.2933 0.4102 0.8144
Er32 Er 0.0898 0.9042 0.3831
Er33 Er 0.7933 0.3144 0.9102
Er34 Er 0.5958 0.6169 0.4102
Er35 Er 0.9042 0.8144 0.5210
Er36 Er 0.5958 0.9790 0.6856
Er37 Er 0.0898 0.1856 0.2067
Er38 Er 0.9790 0.5958 0.1856
Er39 Er 0.1856 0.0898 0.7067
Er40 Er 0.8144 0.9042 0.0210
Er41 Er 0.6169 0.5958 0.9102
Er42 Er 0.1856 0.0958 0.9790
Er43 Er 0.4042 0.3831 0.5898
Er44 Er 0.4102 0.1169 0.5958
Er45 Er 0.9102 0.0958 0.6169
Er46 Er 0.3831 0.4042 0.0898
Er47 Er 0.8144 0.9102 0.2933
Er48 Er 0.0210 0.4042 0.8144
O1 O 0.2500 0.8750 0.1250
O2 O 0.7500 0.1250 0.8750
O3 O 0.5000 0.5000 0.0000
O4 O 0.5000 0.0000 0.0000
O5 O 0.1250 0.7500 0.3750
O6 O 0.7500 0.6250 0.3750
O7 O 0.5000 0.0000 0.5000
O8 O 0.2500 0.3750 0.6250
O9 O 0.5000 0.5000 0.5000
O10 O 0.3750 0.2500 0.1250
O11 O 0.1250 0.3750 0.2500
O12 O 0.6250 0.8750 0.2500
O13 O 0.3750 0.1250 0.7500
O14 O 0.8750 0.6250 0.7500
O15 O 0.0000 0.5000 0.0000
O16 O 0.8750 0.2500 0.6250
O17 O 0.6250 0.7500 0.8750
O18 O 0.0000 0.0000 0.0000
O19 O 0.0000 0.0000 0.5000
O20 O 0.0000 0.5000 0.5000
# calculated volume: 1702 Å³ per cell
# density of states at the Fermi level: 61.17 states/eV/cell
# formation energy without anion corrections: -1811 meV per atom



# 10
# ErPuPtO6 PBE relaxed
data_ErPuPtO6
_chemical_formula_sum 'Er2 Pu2 Pt2 O12'
_cell_length_a 5.3405
_cell_length_b 5.3405
_cell_length_c 9.9510
_cell_angle_alpha 90.00
_cell_angle_beta 90.00
_cell_angle_gamma 120.00
_space_group_name_H-M_alt 'P 1'
_space_group_IT_number 1
loop_
_space_group_symop_operation_xyz
'x,y,z'
loop_
_atom_site_label
_atom_site_type_symbol
_atom_site_fract_x
_atom_site_fract_y
_atom_site_fract_z
O1 O 0.3365 0.3515 0.3660
O2 O 0.9850 0.6485 0.8660
O3 O 0.9850 0.3365 0.6340
O4 O 0.3365 0.9850 0.1340
O5 O 0.3515 0.3365 0.8660
O6 O 0.6635 0.6485 0.6340
O7 O 0.0150 0.3515 0.1340
O8 O 0.6485 0.6635 0.1340
O9 O 0.3515 0.0150 0.6340
O10 O 0.6485 0.9850 0.3660
O11 O 0.0150 0.6635 0.3660
O12 O 0.6635 0.0150 0.8660
Pt1 Pt 0.3333 0.6667 0.2500
Pt2 Pt 0.6667 0.3333 0.7500
Er1 Er 0.0000 0.0000 0.0000
Er2 Er 0.0000 0.0000 0.5000
Pu1 Pu 0.3333 0.6667 0.7500
Pu2 Pu 0.6667 0.3333 0.2500
# calculated volume: 246 Å³ per cell
# density of states at the Fermi level: 19.30 states/eV/cell
# formation energy without anion corrections: -2235 meV per atom



# 11
# Rb4Er3PtO8 PBE relaxed
data_Rb4Er3PtO8
_chemical_formula_sum 'Rb4 Er3 Pt1 O8'
_cell_length_a 6.7667
_cell_length_b 7.5757
_cell_length_c 6.9421
_cell_angle_alpha 116.32
_cell_angle_beta 119.17
_cell_angle_gamma 90.00
_space_group_name_H-M_alt 'P 1'
_space_group_IT_number 1
loop_
_space_group_symop_operation_xyz
'x,y,z'
loop_
_atom_site_label
_atom_site_type_symbol
_atom_site_fract_x
_atom_site_fract_y
_atom_site_fract_z
Er1 Er 0.5000 0.5000 0.0000
Er2 Er 0.5000 0.5000 0.5000
Er3 Er 0.0000 0.5000 0.5000
Rb1 Rb 0.0000 0.0000 0.0000
Rb2 Rb 0.5000 0.0000 0.5000
Rb3 Rb 0.0000 0.0000 0.5000
Rb4 Rb 0.5000 0.0000 0.0000
O1 O 0.7459 0.3005 0.4918
O2 O 0.2802 0.3265 0.5605
O3 O 0.2541 0.6995 0.5082
O4 O 0.2089 0.6662 0.9470
O5 O 0.7381 0.6662 0.9470
O6 O 0.7911 0.3338 0.0530
O7 O 0.7198 0.6735 0.4395
O8 O 0.2619 0.3338 0.0530
Pt1 Pt 0.0000 0.5000 0.0000
# calculated volume: 268 Å³ per cell
# density of states at the Fermi level: 0.07 states/eV/cell
# formation energy without anion corrections: -2176 meV per atom



# 12
# Rb2ErPtO6 PBE relaxed
data_Rb2ErPtO6
_chemical_formula_sum 'Rb2 Er1 Pt1 O6'
_cell_length_a 5.9511
_cell_length_b 5.9511
_cell_length_c 5.9511
_cell_angle_alpha 60.00
_cell_angle_beta 60.00
_cell_angle_gamma 60.00
_space_group_name_H-M_alt 'P 1'
_space_group_IT_number 1
loop_
_space_group_symop_operation_xyz
'x,y,z'
loop_
_atom_site_label
_atom_site_type_symbol
_atom_site_fract_x
_atom_site_fract_y
_atom_site_fract_z
O1 O 0.7661 0.7661 0.2339
O2 O 0.7661 0.2339 0.7661
O3 O 0.2339 0.7661 0.7661
O4 O 0.2339 0.2339 0.7661
O5 O 0.7661 0.2339 0.2339
O6 O 0.2339 0.7661 0.2339
Pt1 Pt 0.0000 0.0000 0.0000
Er1 Er 0.5000 0.5000 0.5000
Rb1 Rb 0.7500 0.7500 0.7500
Rb2 Rb 0.2500 0.2500 0.2500
# calculated volume: 149 Å³ per cell
# density of states at the Fermi level: 8.44 states/eV/cell
# formation energy without anion corrections: -1441 meV per atom